# 1
# Sr2PmTl

Crystalline Sr2PmTl at its relaxed geometry (PBE, Alexandria).

a = 5.143 Å, b = 5.143 Å, c = 5.497 Å
α = 90.00°, β = 90.00°, γ = 90.00°
Space group P4/mmm (No. 123)
Unique sites:
Sr 0.000 0.500 0.000 [2 per cell]
Pm 0.000 0.000 0.500 [1 per cell]
Tl 0.500 0.500 0.500 [1 per cell]

Output
The density of states at the Fermi level comes out at 0.43 states/eV per atom. The calculated formation energy comes out at -0.0769 eV/atom. As for the offset from the most stable computed form: 8 meV per atom.

***

# 2
# SrPm3Tl2

Crystalline SrPm3Tl2 at its relaxed geometry (PBE, Alexandria).

a = 5.531 Å, b = 9.734 Å, c = 7.169 Å
α = 90.00°, β = 90.00°, γ = 90.00°
Space group Pmc2_1 (No. 26)
Unique sites:
Sr 0.000 0.029 0.000 [2 per cell]
Pm 0.000 0.336 0.708 [2 per cell]
Pm 0.500 0.174 0.283 [2 per cell]
Pm 0.500 0.476 0.987 [2 per cell]
Tl 0.000 0.339 0.241 [2 per cell]
Tl 0.500 0.165 0.748 [2 per cell]

Output
The density of states at the Fermi level comes out at 0.86 states/eV per atom. The calculated formation energy comes out at -0.2678 eV/atom.

***

# 3
# Sr2PmTl

Crystalline Sr2PmTl at its relaxed geometry (PBE, Alexandria).

a = 3.8714 Å, b = 3.8714 Å, c = 37.6766 Å
α = 90.00°, β = 90.00°, γ = 120.00°
Space group R-3m (No. 166, hexagonal axes)
Unique sites:
Sr 0.0000 0.0000 0.0974 [6 per cell]
Pm 0.0000 0.0000 0.0000 [3 per cell]
Tl 0.0000 0.0000 0.5000 [3 per cell]

Output
The density of states at the Fermi level comes out at 1.13 states/eV per atom. The calculated formation energy comes out at 0.1050 eV/atom. As for the offset from the most stable computed form: 189 meV per atom.

***

# 4
# SrPm2Tl

Crystalline SrPm2Tl at its relaxed geometry (PBE, Alexandria).

a = 5.103 Å, b = 5.103 Å, c = 5.075 Å
α = 90.00°, β = 90.00°, γ = 90.00°
Space group P4/mmm (No. 123)
Unique sites:
Sr 0.000 0.000 0.000 [1 per cell]
Pm 0.000 0.500 0.500 [2 per cell]
Tl 0.500 0.500 0.000 [1 per cell]

Output
The density of states at the Fermi level comes out at 1.02 states/eV per atom. The calculated formation energy comes out at -0.0913 eV/atom. As for the offset from the most stable computed form: 0 meV per atom.

***

# 5
# SrPm3Tl4

Crystalline SrPm3Tl4 at its relaxed geometry (PBE, Alexandria).

a = 11.146 Å, b = 7.817 Å, c = 5.574 Å
α = 90.00°, β = 90.00°, γ = 90.00°
Space group Pmma (No. 51)
Unique sites:
Sr 0.000 0.000 0.000 [2 per cell]
Pm 0.000 0.500 0.000 [2 per cell]
Pm 0.250 0.000 0.499 [2 per cell]
Pm 0.250 0.500 0.499 [2 per cell]
Tl 0.000 0.256 0.500 [4 per cell]
Tl 0.250 0.256 0.999 [4 per cell]

Output
The density of states at the Fermi level comes out at 0.93 states/eV per atom. The calculated formation energy comes out at -0.3688 eV/atom.

***

# 6
# Sr2PmTl3

Crystalline Sr2PmTl3 at its relaxed geometry (PBE, Alexandria).

a = 3.995 Å, b = 3.995 Å, c = 12.241 Å
α = 90.00°, β = 90.00°, γ = 90.00°
Space group P4/mmm (No. 123)
Unique sites:
Sr 0.000 0.000 0.171 [2 per cell]
Pm 0.000 0.000 0.500 [1 per cell]
Tl 0.500 0.500 0.000 [1 per cell]
Tl 0.500 0.500 0.348 [2 per cell]

Output
The density of states at the Fermi level comes out at 0.98 states/eV per atom. The calculated formation energy comes out at -0.4026 eV/atom.

***

# 7
# Sr3PmTl12

Crystalline Sr3PmTl12 at its relaxed geometry (PBE, Alexandria).

a = 4.973 Å, b = 4.973 Å, c = 19.594 Å
α = 90.00°, β = 90.00°, γ = 90.00°
Space group P4/mmm (No. 123)
Unique sites:
Sr 0.000 0.000 0.000 [1 per cell]
Sr 0.000 0.000 0.256 [2 per cell]
Pm 0.000 0.000 0.500 [1 per cell]
Tl 0.000 0.500 0.127 [4 per cell]
Tl 0.000 0.500 0.381 [4 per cell]
Tl 0.500 0.500 0.000 [1 per cell]
Tl 0.500 0.500 0.251 [2 per cell]
Tl 0.500 0.500 0.500 [1 per cell]

Output
The density of states at the Fermi level comes out at 0.68 states/eV per atom. The calculated formation energy comes out at -0.2597 eV/atom.

***

# 8
# Sr2PmTl

Crystalline Sr2PmTl at its relaxed geometry (PBE, Alexandria).

a = 3.824 Å, b = 3.824 Å, c = 10.508 Å
α = 90.00°, β = 90.00°, γ = 90.00°
Space group P4/mmm (No. 123)
Unique sites:
Sr 0.000 0.000 0.214 [2 per cell]
Pm 0.500 0.500 0.500 [1 per cell]
Tl 0.500 0.500 0.000 [1 per cell]

Output
The density of states at the Fermi level comes out at 1.23 states/eV per atom. The calculated formation energy comes out at -0.0845 eV/atom. As for the offset from the most stable computed form: 0 meV per atom.

***

# 9
# Sr2Pm2Tl7

Crystalline Sr2Pm2Tl7 at its relaxed geometry (PBE, Alexandria).

a = 10.757 Å, b = 11.883 Å, c = 6.378 Å
α = 90.00°, β = 90.00°, γ = 90.00°
Space group Cmmm (No. 65)
Unique sites:
Sr 0.193 0.000 0.000 [4 per cell]
Pm 0.000 0.269 0.500 [4 per cell]
Tl 0.000 0.000 0.500 [2 per cell]
Tl 0.000 0.500 0.237 [4 per cell]
Tl 0.250 0.250 0.242 [8 per cell]

Output
The density of states at the Fermi level comes out at 0.66 states/eV per atom. The calculated formation energy comes out at -0.0088 eV/atom.

***

# 10
# Sr5PmTl6

Crystalline Sr5PmTl6 at its relaxed geometry (PBE, Alexandria).

a = 5.748 Å, b = 8.090 Å, c = 9.098 Å
α = 90.00°, β = 108.15°, γ = 90.00°
Space group P2/m (No. 10)
Unique sites:
Sr 0.000 0.000 0.000 [1 per cell]
Sr 0.330 0.500 0.661 [2 per cell]
Sr 0.331 0.000 0.662 [2 per cell]
Pm 0.000 0.500 0.000 [1 per cell]
Tl 0.160 0.260 0.321 [4 per cell]
Tl 0.500 0.263 0.000 [2 per cell]

Output
The density of states at the Fermi level comes out at 0.59 states/eV per atom. The calculated formation energy comes out at -0.4134 eV/atom.

***

# 11
# SrPm2Tl

Crystalline SrPm2Tl at its relaxed geometry (PBE, Alexandria).

a = 3.7653 Å, b = 3.7653 Å, c = 36.7673 Å
α = 90.00°, β = 90.00°, γ = 120.00°
Space group R-3m (No. 166, hexagonal axes)
Unique sites:
Sr 0.0000 0.0000 0.0000 [3 per cell]
Pm 0.0000 0.0000 0.0996 [6 per cell]
Tl 0.0000 0.0000 0.5000 [3 per cell]

Output
The density of states at the Fermi level comes out at 1.49 states/eV per atom. The calculated formation energy comes out at 0.0866 eV/atom. As for the offset from the most stable computed form: 178 meV per atom.

***

# 12
# SrPm8Tl6

Crystalline SrPm8Tl6 at its relaxed geometry (PBE, Alexandria).

a = 9.4917 Å, b = 9.4917 Å, c = 19.5883 Å
α = 90.00°, β = 90.00°, γ = 120.00°
Space group R-3 (No. 148, hexagonal axes)
Unique sites:
Sr 0.0000 0.0000 0.0000 [3 per cell]
Pm 0.0000 0.0000 0.3335 [6 per cell]
Pm 0.9999 0.3345 0.5579 [18 per cell]
Tl 0.0011 0.3402 0.0615 [18 per cell]

Output
The density of states at the Fermi level comes out at 1.59 states/eV per atom. The calculated formation energy comes out at -0.1623 eV/atom.

***

# 13
# Sr2Pm3Tl4

Crystalline Sr2Pm3Tl4 at its relaxed geometry (PBE, Alexandria).

a = 7.469 Å, b = 18.019 Å, c = 9.172 Å
α = 90.00°, β = 90.00°, γ = 90.00°
Space group Cmce (No. 64)
Unique sites:
Sr 0.000 0.106 0.084 [8 per cell]
Pm 0.000 0.000 0.500 [4 per cell]
Pm 0.250 0.222 0.750 [8 per cell]
Tl 0.000 0.181 0.463 [8 per cell]
Tl 0.250 0.049 0.750 [8 per cell]

Output
The density of states at the Fermi level comes out at 0.98 states/eV per atom. The calculated formation energy comes out at -0.2619 eV/atom.

***

# 14
# SrPm4Tl4

Crystalline SrPm4Tl4 at its relaxed geometry (PBE, Alexandria).

a = 9.739 Å, b = 9.739 Å, c = 6.107 Å
α = 90.00°, β = 90.00°, γ = 90.00°
Space group P4_2/n (No. 86, origin choice 2)
Unique sites:
Sr 0.250 0.250 0.250 [2 per cell]
Pm 0.096 0.833 0.635 [8 per cell]
Tl 0.036 0.140 0.854 [8 per cell]

Output
The density of states at the Fermi level comes out at 0.89 states/eV per atom. The calculated formation energy comes out at -0.1798 eV/atom.

***

# 15
# Sr2PmTl4

Crystalline Sr2PmTl4 at its relaxed geometry (PBE, Alexandria).

a = 5.573 Å, b = 5.573 Å, c = 15.416 Å
α = 90.00°, β = 90.00°, γ = 90.00°
Space group I4/mmm (No. 139)
Unique sites:
Sr 0.000 0.000 0.243 [4 per cell]
Pm 0.000 0.000 0.500 [2 per cell]
Tl 0.000 0.500 0.107 [8 per cell]

Output
The density of states at the Fermi level comes out at 0.45 states/eV per atom. The calculated formation energy comes out at -0.2761 eV/atom.

***

# 16
# SrPmTlZn

Crystalline SrPmTlZn at its relaxed geometry (PBE, Alexandria).

a = 7.781 Å, b = 7.781 Å, c = 7.781 Å
α = 90.00°, β = 90.00°, γ = 90.00°
Space group F-43m (No. 216)
Unique sites:
Sr 0.000 0.000 0.000 [4 per cell]
Pm 0.000 0.000 0.500 [4 per cell]
Tl 0.250 0.250 0.750 [4 per cell]
Zn 0.250 0.250 0.250 [4 per cell]

Output
The density of states at the Fermi level comes out at 0.58 states/eV per atom. The calculated formation energy comes out at -0.2877 eV/atom.

***

# 17
# SrPmTm2

Crystalline SrPmTm2 at its relaxed geometry (PBE, Alexandria).

a = 3.687 Å, b = 3.687 Å, c = 10.539 Å
α = 90.00°, β = 90.00°, γ = 90.00°
Space group P4/mmm (No. 123)
Unique sites:
Sr 0.000 0.000 0.000 [1 per cell]
Pm 0.000 0.000 0.500 [1 per cell]
Tm 0.500 0.500 0.278 [2 per cell]

Output
The density of states at the Fermi level comes out at 1.57 states/eV per atom. The calculated formation energy comes out at 0.1423 eV/atom. As for the offset from the most stable computed form: 4 meV per atom.

***

# 18
# SrPmTm2

Crystalline SrPmTm2 at its relaxed geometry (PBE, Alexandria).

a = 3.6052 Å, b = 3.6052 Å, c = 38.1743 Å
α = 90.00°, β = 90.00°, γ = 120.00°
Space group R-3m (No. 166, hexagonal axes)
Unique sites:
Sr 0.0000 0.0000 0.0000 [3 per cell]
Pm 0.0000 0.0000 0.5000 [3 per cell]
Tm 0.0000 0.0000 0.0926 [6 per cell]

Output
The density of states at the Fermi level comes out at 1.39 states/eV per atom. The calculated formation energy comes out at 0.2431 eV/atom. As for the offset from the most stable computed form: 105 meV per atom.

***

# 19
# SrPmTm2

Crystalline SrPmTm2 at its relaxed geometry (PBE, Alexandria).

a = 3.6660 Å, b = 3.6660 Å, c = 36.2075 Å
α = 90.00°, β = 90.00°, γ = 120.00°
Space group R3m (No. 160, hexagonal axes)
Unique sites:
Sr 0.0000 0.0000 0.0000 [3 per cell]
Pm 0.0000 0.0000 0.8342 [3 per cell]
Tm 0.0000 0.0000 0.2447 [3 per cell]
Tm 0.0000 0.0000 0.4228 [3 per cell]

Output
The density of states at the Fermi level comes out at 1.40 states/eV per atom. The calculated formation energy comes out at 0.1381 eV/atom. As for the offset from the most stable computed form: 0 meV per atom.

***

# 20
# SrPmY

Crystalline SrPmY at its relaxed geometry (PBE, Alexandria).

a = 3.770 Å, b = 3.770 Å, c = 16.268 Å
α = 90.00°, β = 90.00°, γ = 90.00°
Space group I4mm (No. 107)
Unique sites:
Sr 0.000 0.000 0.000 [2 per cell]
Pm 0.000 0.000 0.320 [2 per cell]
Y 0.000 0.000 0.679 [2 per cell]

Output
The density of states at the Fermi level comes out at 1.48 states/eV per atom. The calculated formation energy comes out at 0.1103 eV/atom. As for the offset from the most stable computed form: 0 meV per atom.

***

# 21
# SrPmY

Crystalline SrPmY at its relaxed geometry (PBE, Alexandria).

a = 11.905 Å, b = 3.593 Å, c = 12.398 Å
α = 90.00°, β = 116.55°, γ = 90.00°
Space group C2/m (No. 12)
Unique sites:
Sr 0.082 0.000 0.400 [4 per cell]
Pm 0.235 0.500 0.223 [4 per cell]
Y 0.105 0.500 0.918 [4 per cell]

Output
The density of states at the Fermi level comes out at 1.78 states/eV per atom. The calculated formation energy comes out at 0.2576 eV/atom. As for the offset from the most stable computed form: 147 meV per atom.

***

# 22
# SrPmY

Crystalline SrPmY at its relaxed geometry (PBE, Alexandria).

a = 3.7669 Å, b = 3.7669 Å, c = 9.3648 Å
α = 90.00°, β = 90.00°, γ = 120.00°
Space group P3m1 (No. 156)
Unique sites:
Sr 0.0000 0.0000 0.0000 [1 per cell]
Pm 0.6667 0.3333 0.3572 [1 per cell]
Y 0.3333 0.6667 0.6514 [1 per cell]

Output
The density of states at the Fermi level comes out at 1.49 states/eV per atom. The calculated formation energy comes out at 0.1270 eV/atom. As for the offset from the most stable computed form: 17 meV per atom.

***

# 23
# SrPm12Y6

Crystalline SrPm12Y6 at its relaxed geometry (PBE, Alexandria).

a = 13.4554 Å, b = 13.4554 Å, c = 13.0565 Å
α = 90.00°, β = 90.00°, γ = 120.00°
Space group R-3m (No. 166, hexagonal axes)
Unique sites:
Sr 0.0000 0.0000 0.0000 [3 per cell]
Pm 0.0000 0.2601 0.5000 [18 per cell]
Pm 0.0920 0.1840 0.2683 [18 per cell]
Y 0.0330 0.5165 0.6186 [18 per cell]

Output
The density of states at the Fermi level comes out at 1.64 states/eV per atom. The calculated formation energy comes out at 0.1960 eV/atom.

***

# 24
# SrPm4Y

Crystalline SrPm4Y at its relaxed geometry (PBE, Alexandria).

a = 9.689 Å, b = 9.689 Å, c = 9.689 Å
α = 90.00°, β = 90.00°, γ = 90.00°
Space group F-43m (No. 216)
Unique sites:
Sr 0.000 0.000 0.000 [4 per cell]
Pm 0.122 0.122 0.378 [16 per cell]
Y 0.250 0.250 0.750 [4 per cell]

Output
The density of states at the Fermi level comes out at 1.42 states/eV per atom. The calculated formation energy comes out at 0.2231 eV/atom.